Record 1
This record from Alexandria describes an optimized crystal structure of AcHoPdPb. The functional is PBE.

calculated density: 10.253 Mg/m³
total energy: -19.70 eV per formula unit
ΔE_f: -0.53 eV per atom
V: 114.3 Å³/cell

abc: 5.447 5.447 5.447
angles: 60.00 60.00 60.00
Sites, in units of the cell vectors:
Pb: 0.500 0.500 0.500
Ac: 0.250 0.250 0.250
Ho: 0.750 0.750 0.750
Pd: 0.000 0.000 0.000

Record 2
This record from Alexandria describes an optimized crystal structure of Tb6TlZn5. The functional is PBE.

calculated density: 8.598 Mg/m³
total energy: -40.49 eV per formula unit
ΔE_f: -0.33 eV per atom
V: 286.8 Å³/cell

abc: 5.107 7.291 8.114
angles: 90.00 71.66 90.00
Sites, in units of the cell vectors:
Tl: 0.000 0.000 0.000
Tb: 0.829 0.743 0.342
Tb: 0.829 0.257 0.342
Tb: 0.500 0.261 0.000
Tb: 0.500 0.739 0.000
Tb: 0.171 0.743 0.658
Tb: 0.171 0.257 0.658
Zn: 0.666 0.500 0.668
Zn: 0.331 0.000 0.338
Zn: 0.000 0.500 0.000
Zn: 0.669 0.000 0.662
Zn: 0.334 0.500 0.332

Record 3
This record from Alexandria describes an optimized crystal structure of Ba3Au. The functional is PBE.

calculated density: 4.503 Mg/m³
total energy: -10.41 eV per formula unit
ΔE_f: -0.34 eV per atom
V: 224.6 Å³/cell

abc: 4.722 7.787 7.791
angles: 51.61 90.00 90.00
Sites, in units of the cell vectors:
Au: 0.000 0.000 0.000
Ba: 0.500 0.843 0.843
Ba: 0.000 0.500 0.500
Ba: 0.500 0.157 0.157

- Which of these has the lowest total energy?
  Tb6TlZn5

What did the third record say?
This record from Alexandria describes an optimized crystal structure of Ba3Au. The functional is PBE.

calculated density: 4.503 Mg/m³
total energy: -10.41 eV per formula unit
ΔE_f: -0.34 eV per atom
V: 224.6 Å³/cell

abc: 4.722 7.787 7.791
angles: 51.61 90.00 90.00
Sites, in units of the cell vectors:
Au: 0.000 0.000 0.000
Ba: 0.500 0.843 0.843
Ba: 0.000 0.500 0.500
Ba: 0.500 0.157 0.157

- Among the records above, which one has the lowest ΔE_f?
  AcHoPdPb

- Among the records above, which one has the lowest V?
  AcHoPdPb